MgCuTc: optimized geometry, GGA-PBE.

Calculated values
- Uncorrected energy: -15.32 eV/cell
- Polymorph energy (0 for the lowest one): 257 meV per atom

Cell and atoms, written as POSCAR:
```
MgCuTc
1.0
2.757 0.000 0.000
-1.379 2.388 0.000
0.000 0.000 6.793
Mg Cu Tc
1 1 1
Cartesian
0.000 0.000 0.000 Mg
0.000 1.592 4.541 Cu
1.379 0.796 2.378 Tc
```